TiSiN2: optimized geometry, PBE.

```
data_TiSiN2
_chemical_formula_sum 'Ti4 Si4 N8'
_cell_length_a 4.557
_cell_length_b 4.557
_cell_length_c 8.280
_cell_angle_alpha 90.00
_cell_angle_beta 90.00
_cell_angle_gamma 90.00
_space_group_name_H-M_alt 'I -4 2 d'
_space_group_IT_number 122
_space_group_name_Hall 'I -4 2bw'
loop_
_atom_site_label
_atom_site_fract_x
_atom_site_fract_y
_atom_site_fract_z
Ti1 0.000 0.000 0.000
Si1 0.000 0.000 0.500
N1 0.190 0.250 0.625
```

density of states at the Fermi level = 10.0 states/eV/cell
total energy = -134.6 eV/cell